The following is a PBE with a Hubbard U calculation of crystalline Ac2MgWO8 at its relaxed geometry, from Alexandria.

Output
final energy = -7.09 eV per atom
DOS(E_F) = 2.11 states/eV/cell
theoretical density = 7.6 g cm⁻³

Unit cell a=4.198 b=5.784 c=7.184 alpha=86.80 beta=92.70 gamma=97.50
Last column: magnetic moment on the atom in μB.
Fractional positions:
1 Ac 0.295 0.527 0.735  0.01
2 Ac 0.705 0.473 0.265  0.01
3 Mg 0.000 0.000 0.500  0.00
4 W 0.000 0.000 0.000  -0.10
5 O 0.271 0.820 0.166  0.39
6 O 0.775 0.699 0.951  0.14
7 O 0.758 0.025 0.230  0.32
8 O 0.729 0.180 0.834  0.39
9 O 0.225 0.301 0.049  0.14
10 O 0.242 0.975 0.770  0.32
11 O 0.800 0.678 0.553  0.05
12 O 0.200 0.322 0.447  0.05

The following is a PBE with a Hubbard U calculation of crystalline AcMgW2O8 at its relaxed geometry, from Alexandria.

Output
final energy = -7.24 eV per atom
DOS(E_F) = 6.76 states/eV/cell
theoretical density = 6.1 g cm⁻³

Unit cell a=5.867 b=5.867 c=6.831 alpha=90.00 beta=90.00 gamma=120.00
Last column: magnetic moment on the atom in μB.
Fractional positions:
1 Ac 0.000 0.000 0.000  0.01
2 Mg 0.000 0.000 0.500  0.00
3 W 0.667 0.333 0.236  0.52
4 W 0.333 0.667 0.764  0.52
5 O 0.333 0.667 0.031  -0.02
6 O 0.312 0.155 0.302  -0.02
7 O 0.845 0.157 0.302  -0.02
8 O 0.667 0.333 0.969  -0.02
9 O 0.155 0.843 0.698  -0.02
10 O 0.688 0.845 0.698  -0.02
11 O 0.157 0.312 0.698  -0.02
12 O 0.843 0.688 0.302  -0.02

Number 1: total moment 1.99 μB per formula unit. Number 2: total moment 1.00 μB per formula unit.